Record 1
DFT (PBE-GGA) results for crystalline SrMgAl2 at its relaxed geometry.

Calculated values
Density of states at the Fermi level, states/eV/cell: 6.1
Total magnetic moment, μB/atom: 0.00
Total energy, eV per atom: -2.4751
Space group: No. 166

Unit cell a=3.4348 b=3.4348 c=30.0430 alpha=90.00 beta=90.00 gamma=120.00
Closest atoms and distances in Å follow each position.
Atoms (fractional coordinates):
Sr1 0.0000 0.0000 0.0000  6 Al 3.39, 6 Sr 3.43
Sr2 0.3333 0.6667 0.6667  6 Al 3.39, 6 Sr 3.43
Sr3 0.6667 0.3333 0.3333  6 Al 3.39, 6 Sr 3.43
Mg1 0.0000 0.0000 0.5000  6 Al 3.01
Mg2 0.3333 0.6667 0.1667  6 Al 3.01
Mg3 0.6667 0.3333 0.8333  6 Al 3.01
Al1 0.0000 0.0000 0.2420  3 Mg 3.01
Al2 0.0000 0.0000 0.7580  3 Mg 3.01
Al3 0.3333 0.6667 0.4247  3 Mg 3.01
Al4 0.3333 0.6667 0.9087  3 Mg 3.01
Al5 0.6667 0.3333 0.0913  3 Mg 3.01
Al6 0.6667 0.3333 0.5753  3 Mg 3.01


Record 2
DFT (PBE-GGA) results for crystalline Pu2Ga3AgPd4 at its relaxed geometry.

Calculated values
Density of states at the Fermi level, states/eV/cell: 25.8
Total magnetic moment, μB/atom: 1.11
Total energy, eV per atom: -6.6404
Space group: No. 115

Unit cell a=4.0458 b=4.0458 c=11.7897 alpha=90.00 beta=90.00 gamma=90.00
Closest atoms and distances in Å follow each position.
Atoms (fractional coordinates):
Pu1 0.0000 0.5000 0.2461  4 Pd 3.04, 4 Ga 3.22
Pu2 0.5000 0.0000 0.7539  4 Pd 3.04, 4 Ga 3.22
Ga1 0.0000 0.0000 0.0000  4 Pd 2.76, 4 Ag 2.86
Ga2 0.0000 0.5000 0.6291  5 Pd 2.50-2.53
Ga3 0.5000 0.0000 0.3709  5 Pd 2.50-2.53
Ag1 0.5000 0.5000 0.0000  4 Pd 2.76, 4 Ga 2.86
Pd1 0.0000 0.0000 0.5000  4 Ga 2.53
Pd2 0.0000 0.5000 0.8414  3 Ga 2.50-2.76, 2 Ag 2.76
Pd3 0.5000 0.0000 0.1586  3 Ga 2.50-2.76, 2 Ag 2.76
Pd4 0.5000 0.5000 0.5000  4 Ga 2.53


Record 3
DFT (PBE-GGA) results for crystalline MnTcOs2 at its relaxed geometry.

Calculated values
Density of states at the Fermi level, states/eV/cell: 16.5
Total magnetic moment, μB/atom: 0.60
Polymorph energy (0 for the lowest one), meV per atom: 678
Total energy, eV per atom: -9.7575
Space group: No. 122

Unit cell a=3.7640 b=3.7640 c=17.4875 alpha=90.00 beta=90.00 gamma=90.00
Closest atoms and distances in Å follow each position.
Atoms (fractional coordinates):
Mn1 0.0000 0.0000 0.0000  4 Os 2.51, 4 Tc 2.66
Mn2 0.0000 0.5000 0.2500  4 Os 2.51, 4 Tc 2.66
Mn3 0.5000 0.0000 0.7500  4 Os 2.51, 4 Tc 2.66
Mn4 0.5000 0.5000 0.5000  4 Os 2.51, 4 Tc 2.66
Tc1 0.0000 0.0000 0.5000  4 Os 2.61, 4 Mn 2.66
Tc2 0.0000 0.5000 0.7500  4 Os 2.61, 4 Mn 2.66
Tc3 0.5000 0.0000 0.2500  4 Os 2.61, 4 Mn 2.66
Tc4 0.5000 0.5000 0.0000  4 Os 2.61, 4 Mn 2.66
Os1 0.2157 0.2500 0.1250  2 Os 2.49, 2 Mn 2.51, 2 Tc 2.61
Os2 0.2500 0.7157 0.3750  2 Os 2.49, 2 Mn 2.51, 2 Tc 2.61
Os3 0.2500 0.7843 0.8750  2 Os 2.49, 2 Mn 2.51, 2 Tc 2.61
Os4 0.2843 0.2500 0.6250  2 Os 2.49, 2 Mn 2.51, 2 Tc 2.61
Os5 0.7157 0.7500 0.6250  2 Os 2.49, 2 Mn 2.51, 2 Tc 2.61
Os6 0.7500 0.2157 0.8750  2 Os 2.49, 2 Mn 2.51, 2 Tc 2.61
Os7 0.7500 0.2843 0.3750  2 Os 2.49, 2 Mn 2.51, 2 Tc 2.61
Os8 0.7843 0.7500 0.1250  2 Os 2.49, 2 Mn 2.51, 2 Tc 2.61